Entry w
Below is Ni3HgBr at its PBEsol-relaxed geometry, with properties calculated at the meta-GGA SCAN level.

Cell and atoms, written as POSCAR:
```
Ni3HgBr
1.0
4.7224 0.0000 0.0000
0.0000 4.7224 0.0000
0.0000 0.0000 4.7224
Ni Hg Br
3 1 1
Direct
0.0000 0.0000 0.5000
0.0000 0.5000 0.0000
0.5000 0.0000 0.0000
0.0000 0.0000 0.0000
0.5000 0.5000 0.5000
```

Results
The calculation puts the theoretical density at 7199 kg/m³.

***

Entry x
Below is Ni3HgBr at its PBEsol-relaxed geometry, with properties calculated at the meta-GGA SCAN level.

Cell and atoms, written as POSCAR:
```
Ni3HgBr
1.0
4.3318 0.0000 0.0000
0.0000 4.3318 0.0000
0.0000 0.0000 4.3318
Ni Hg Br
3 1 1
Direct
0.0000 0.0000 0.5000
0.0000 0.5000 0.0000
0.5000 0.0000 0.0000
0.5000 0.5000 0.5000
0.0000 0.0000 0.0000
```

Results
The calculation puts the theoretical density at 9327 kg/m³.

***

Tell me which of them is the most stable. Sure, it is entry x.

***

Entry w
Below is HgOsBr2 at its PBEsol-relaxed geometry, with properties calculated at the meta-GGA SCAN level.

Cell and atoms, written as POSCAR:
```
HgOsBr2
1.0
0.0000 3.4505 3.4505
3.4505 0.0000 3.4505
3.4505 3.4505 0.0000
Hg Os Br
1 1 2
Direct
0.0000 0.0000 0.0000
0.7500 0.7500 0.7500
0.2500 0.2500 0.2500
0.5000 0.5000 0.5000
```

Results
The calculation puts the theoretical density at 11128 kg/m³.

***

Entry x
Below is HgOsBr2 at its PBEsol-relaxed geometry, with properties calculated at the meta-GGA SCAN level.

Cell and atoms, written as POSCAR:
```
HgOsBr2
1.0
-1.5389 2.4041 6.5085
1.5389 -2.4041 6.5085
1.5389 2.4041 -6.5085
Hg Os Br
1 1 2
Direct
0.0000 0.0000 0.0000
0.5000 0.5000 0.0000
0.3441 0.8441 0.5000
0.6559 0.1559 0.5000
```

Results
The calculation puts the theoretical density at 9493 kg/m³.

***

Tell me which of them is the most stable. Sure, it is entry x.

***

Entry w
Below is HgPtBr at its PBEsol-relaxed geometry, with properties calculated at the meta-GGA SCAN level.

Cell and atoms, written as POSCAR:
```
HgPtBr
1.0
0.0000 2.8667 6.4194
1.6835 0.0000 6.4194
1.6835 2.8667 0.0000
Hg Pt Br
1 1 1
Direct
0.0000 0.0000 0.0000
0.3387 0.3387 0.6613
0.6844 0.6844 0.3156
```

Results
The calculation puts the theoretical density at 12745 kg/m³.

***

Entry x
Below is HgPtBr at its PBEsol-relaxed geometry, with properties calculated at the meta-GGA SCAN level.

Cell and atoms, written as POSCAR:
```
HgPtBr
1.0
0.0000 3.2227 3.2227
3.2227 0.0000 3.2227
3.2227 3.2227 0.0000
Hg Pt Br
1 1 1
Direct
0.0000 0.0000 0.0000
0.2500 0.2500 0.2500
0.5000 0.5000 0.5000
```

Results
The calculation puts the theoretical density at 11797 kg/m³.

***

Tell me which of them is the most stable. Sure, it is entry x.

***

Entry w
Below is ReHg2Br at its PBEsol-relaxed geometry, with properties calculated at the meta-GGA SCAN level.

Cell and atoms, written as POSCAR:
```
ReHg2Br
1.0
-2.1322 2.1322 4.3591
2.1322 -2.1322 4.3591
2.1322 2.1322 -4.3591
Re Hg Br
1 2 1
Direct
0.0000 0.0000 0.0000
0.2500 0.7500 0.5000
0.5000 0.5000 0.0000
0.7500 0.2500 0.5000
```

Results
The calculation puts the theoretical density at 13978 kg/m³.

***

Entry x
Below is ReHg2Br at its PBEsol-relaxed geometry, with properties calculated at the meta-GGA SCAN level.

Cell and atoms, written as POSCAR:
```
ReHg2Br
1.0
0.0000 3.4042 3.4042
3.4042 0.0000 3.4042
3.4042 3.4042 0.0000
Re Hg Br
1 2 1
Direct
0.0000 0.0000 0.0000
0.2500 0.2500 0.2500
0.5000 0.5000 0.5000
0.7500 0.7500 0.7500
```

Results
The calculation puts the theoretical density at 14044 kg/m³.

***

Tell me which of them is the most stable. Sure, it is entry w.

***

Entry w
Below is HgRu2Br at its PBEsol-relaxed geometry, with properties calculated at the meta-GGA SCAN level.

Cell and atoms, written as POSCAR:
```
HgRu2Br
1.0
2.9121 0.0000 0.0000
0.0000 4.5575 0.0000
0.0000 0.0000 5.1132
Hg Ru Br
1 2 1
Direct
0.0000 0.0000 0.0000
0.0000 0.5000 0.5000
0.5000 0.5000 0.0000
0.5000 0.0000 0.5000
```

Results
The calculation puts the theoretical density at 11810 kg/m³.

***

Entry x
Below is HgRu2Br at its PBEsol-relaxed geometry, with properties calculated at the meta-GGA SCAN level.

Cell and atoms, written as POSCAR:
```
HgRu2Br
1.0
-2.0424 2.0424 4.0118
2.0424 -2.0424 4.0118
2.0424 2.0424 -4.0118
Hg Ru Br
1 2 1
Direct
0.0000 0.0000 0.0000
0.5000 0.5000 0.0000
0.7500 0.2500 0.5000
0.2500 0.7500 0.5000
```

Results
The calculation puts the theoretical density at 11973 kg/m³.

***

Tell me which of them is the most stable. Sure, it is entry w.

***

Entry w
Below is HgRuBr at its PBEsol-relaxed geometry, with properties calculated at the meta-GGA SCAN level.

Cell and atoms, written as POSCAR:
```
HgRuBr
1.0
0.0000 3.3064 3.3064
3.3064 0.0000 3.3064
3.3064 3.3064 0.0000
Hg Ru Br
1 1 1
Direct
0.0000 0.0000 0.0000
0.2500 0.2500 0.2500
0.7500 0.7500 0.7500
```

Results
The calculation puts the theoretical density at 8764 kg/m³.

***

Entry x
Below is HgRuBr at its PBEsol-relaxed geometry, with properties calculated at the meta-GGA SCAN level.

Cell and atoms, written as POSCAR:
```
HgRuBr
1.0
0.0000 2.7552 7.1111
1.5020 0.0000 7.1111
1.5020 2.7552 0.0000
Hg Ru Br
1 1 1
Direct
0.0000 0.0000 0.0000
0.3385 0.3385 0.6615
0.7039 0.7039 0.2961
```

Results
The calculation puts the theoretical density at 10765 kg/m³.

***

Tell me which of them is the most stable. Sure, it is entry x.

***

Entry w
Below is Hg2RuBr at its PBEsol-relaxed geometry, with properties calculated at the meta-GGA SCAN level.

Cell and atoms, written as POSCAR:
```
Hg2RuBr
1.0
0.0000 3.4164 3.4164
3.4164 0.0000 3.4164
3.4164 3.4164 0.0000
Hg Ru Br
2 1 1
Direct
0.2500 0.2500 0.2500
0.7500 0.7500 0.7500
0.0000 0.0000 0.0000
0.5000 0.5000 0.5000
```

Results
The calculation puts the theoretical density at 12121 kg/m³.

***

Entry x
Below is Hg2RuBr at its PBEsol-relaxed geometry, with properties calculated at the meta-GGA SCAN level.

Cell and atoms, written as POSCAR:
```
Hg2RuBr
1.0
-1.9942 1.9942 4.7960
1.9942 -1.9942 4.7960
1.9942 1.9942 -4.7960
Hg Ru Br
2 1 1
Direct
0.2500 0.7500 0.5000
0.7500 0.2500 0.5000
0.0000 0.0000 0.0000
0.5000 0.5000 0.0000
```

Results
The calculation puts the theoretical density at 12671 kg/m³.

***

Entry y
Below is Hg2RuBr at its PBEsol-relaxed geometry, with properties calculated at the meta-GGA SCAN level.

Cell and atoms, written as POSCAR:
```
Hg2RuBr
1.0
1.4883 -2.7467 0.0000
1.4883 2.7467 0.0000
0.0000 0.0000 10.1239
Hg Ru Br
2 1 1
Direct
0.0000 0.0000 0.0000
0.5000 0.5000 0.2716
0.0000 0.0000 0.5000
0.5000 0.5000 0.6883
```

Results
The calculation puts the theoretical density at 11679 kg/m³.

***

Tell me which of them is the most stable. Sure, it is entry y.

***

Entry w
Below is HgSbBr2 at its PBEsol-relaxed geometry, with properties calculated at the meta-GGA SCAN level.

Cell and atoms, written as POSCAR:
```
HgSbBr2
1.0
-2.6053 2.6053 3.6926
2.6053 -2.6053 3.6926
2.6053 2.6053 -3.6926
Hg Sb Br
1 1 2
Direct
0.0000 0.0000 0.0000
0.5000 0.5000 0.0000
0.2500 0.7500 0.5000
0.7500 0.2500 0.5000
```

Results
The calculation puts the theoretical density at 7986 kg/m³.

***

Entry x
Below is HgSbBr2 at its PBEsol-relaxed geometry, with properties calculated at the meta-GGA SCAN level.

Cell and atoms, written as POSCAR:
```
HgSbBr2
1.0
-1.7394 2.4807 6.4578
1.7394 -2.4807 6.4578
1.7394 2.4807 -6.4578
Hg Sb Br
1 1 2
Direct
0.0000 0.0000 0.0000
0.1970 0.6970 0.5000
0.3870 0.3870 0.0000
0.6879 0.1879 0.5000
```

Results
The calculation puts the theoretical density at 7183 kg/m³.

***

Tell me which of them is the most stable. Sure, it is entry x.

***

Entry w
Below is HgSe2Br at its PBEsol-relaxed geometry, with properties calculated at the meta-GGA SCAN level.

Cell and atoms, written as POSCAR:
```
HgSe2Br
1.0
5.2550 0.0000 0.0000
0.0000 5.2550 0.0000
0.0000 0.0000 3.1383
Hg Se Br
1 2 1
Direct
0.0000 0.0000 0.0000
0.0000 0.5000 0.5000
0.5000 0.0000 0.5000
0.5000 0.5000 0.0000
```

Results
The calculation puts the theoretical density at 8400 kg/m³.

***

Entry x
Below is HgSe2Br at its PBEsol-relaxed geometry, with properties calculated at the meta-GGA SCAN level.

Cell and atoms, written as POSCAR:
```
HgSe2Br
1.0
-1.9053 1.9053 7.2979
1.9053 -1.9053 7.2979
1.9053 1.9053 -7.2979
Hg Se Br
1 2 1
Direct
0.0000 0.0000 0.0000
0.5000 0.5000 0.0000
0.7500 0.2500 0.5000
0.2500 0.7500 0.5000
```

Results
The calculation puts the theoretical density at 6870 kg/m³.

***

Tell me which of them is the most stable. Sure, it is entry x.

***

Entry w
Below is SiHg2Br at its PBEsol-relaxed geometry, with properties calculated at the meta-GGA SCAN level.

Cell and atoms, written as POSCAR:
```
SiHg2Br
1.0
2.7403 -5.2171 0.0000
2.7403 5.2171 0.0000
0.0000 0.0000 3.2498
Si Hg Br
1 2 1
Direct
0.0000 0.0000 0.0000
0.0000 0.5000 0.5000
0.5000 0.0000 0.5000
0.5000 0.5000 0.0000
```

Results
The calculation puts the theoretical density at 9099 kg/m³.

***

Entry x
Below is SiHg2Br at its PBEsol-relaxed geometry, with properties calculated at the meta-GGA SCAN level.

Cell and atoms, written as POSCAR:
```
SiHg2Br
1.0
5.1761 0.0000 0.0000
0.0000 3.6032 0.0000
-2.5645 0.0000 5.3437
Si Hg Br
1 2 1
Direct
0.0000 0.0000 0.0000
0.1883 0.5000 0.3749
0.8117 0.5000 0.6251
0.5000 0.0000 0.0000
```

Results
The calculation puts the theoretical density at 8484 kg/m³.

***

Entry y
Below is SiHg2Br at its PBEsol-relaxed geometry, with properties calculated at the meta-GGA SCAN level.

Cell and atoms, written as POSCAR:
```
SiHg2Br
1.0
3.4420 0.0000 0.0000
0.0000 3.4420 0.0000
0.0000 0.0000 7.4875
Si Hg Br
1 2 1
Direct
0.0000 0.0000 0.0000
0.5000 0.5000 0.2213
0.5000 0.5000 0.7787
0.0000 0.0000 0.5000
```

Results
The calculation puts the theoretical density at 9531 kg/m³.

***

Tell me which of them is the most stable. Sure, it is entry x.

***

Entry w
Below is SrHgBr2 at its PBEsol-relaxed geometry, with properties calculated at the meta-GGA SCAN level.

Cell and atoms, written as POSCAR:
```
SrHgBr2
1.0
5.1299 0.0000 0.0000
0.0000 5.1299 0.0000
0.0000 0.0000 4.2552
Sr Hg Br
1 1 2
Direct
0.0000 0.0000 0.0000
0.5000 0.5000 0.0000
0.0000 0.5000 0.5000
0.5000 0.0000 0.5000
```

Results
The calculation puts the theoretical density at 6644 kg/m³.

***

Entry x
Below is SrHgBr2 at its PBEsol-relaxed geometry, with properties calculated at the meta-GGA SCAN level.

Cell and atoms, written as POSCAR:
```
SrHgBr2
1.0
3.8930 -2.2452 0.0000
3.8930 2.2452 0.0000
-2.5487 0.0000 8.8309
Sr Hg Br
1 1 2
Direct
0.0000 0.0000 0.0000
0.5000 0.5000 0.5000
0.2752 0.2752 0.8227
0.7248 0.7248 0.1773
```

Results
The calculation puts the theoretical density at 4819 kg/m³.

***

Tell me which of them is the most stable. Sure, it is entry x.

***

Entry w
Below is TaHg2Br at its PBEsol-relaxed geometry, with properties calculated at the meta-GGA SCAN level.

Cell and atoms, written as POSCAR:
```
TaHg2Br
1.0
0.0000 3.4168 3.4168
3.4168 0.0000 3.4168
3.4168 3.4168 0.0000
Ta Hg Br
1 2 1
Direct
0.0000 0.0000 0.0000
0.2500 0.2500 0.2500
0.5000 0.5000 0.5000
0.7500 0.7500 0.7500
```

Results
The calculation puts the theoretical density at 13780 kg/m³.

***

Entry x
Below is TaHg2Br at its PBEsol-relaxed geometry, with properties calculated at the meta-GGA SCAN level.

Cell and atoms, written as POSCAR:
```
TaHg2Br
1.0
3.1135 0.0000 0.0000
0.0000 5.4992 0.0000
-0.5462 0.0000 5.0183
Ta Hg Br
1 2 1
Direct
0.0000 0.0000 0.0000
0.3064 0.5000 0.2371
0.6936 0.5000 0.7629
0.0000 0.0000 0.5000
```

Results
The calculation puts the theoretical density at 12795 kg/m³.

***

Tell me which of them is the most stable. Sure, it is entry x.